Ba2AcIn: optimized geometry, PBE.

Results
calculated density	5.820	g/cm3
DOS(E_F)	3.46	states/eV/cell
energy above the lowest structure with this stoichiometry	0.122	eV/atom

a b c (Å): 6.289 6.289 6.289
angles (deg): 60.00 60.00 60.00
Positions (direct):
Ba  0.250  0.250  0.250
Ba  0.750  0.750  0.750
Ac  0.000  0.000  0.000
In  0.500  0.500  0.500

BaAcIn2: optimized geometry, PBE.

Results
calculated density	6.673	g/cm3
DOS(E_F)	3.14	states/eV/cell
E_tot	-3.287	eV per atom

a b c (Å): 4.192 4.192 8.410
angles (deg): 90.00 90.00 90.00
Positions (direct):
Ba  0.000  0.000  0.000
Ac  0.000  0.000  0.500
In  0.500  0.500  0.271
In  0.500  0.500  0.729

BaAc5In3: optimized geometry, PBE.

Results
calculated density	7.804	g/cm3
DOS(E_F)	17.91	states/eV/cell
E_tot	-3.675	eV per atom

a b c (Å): 10.256 10.256 7.553
angles (deg): 90.00 90.00 120.00
Positions (direct):
Ba  0.000  0.000  0.000
Ba  0.000  0.000  0.500
Ac  0.000  0.335  0.250
Ac  0.000  0.665  0.750
Ac  0.333  0.667  0.000
Ac  0.333  0.667  0.500
Ac  0.335  0.000  0.250
Ac  0.335  0.335  0.750
Ac  0.665  0.000  0.750
Ac  0.665  0.665  0.250
Ac  0.667  0.333  0.000
Ac  0.667  0.333  0.500
In  0.000  0.335  0.750
In  0.000  0.665  0.250
In  0.335  0.000  0.750
In  0.335  0.335  0.250
In  0.665  0.000  0.250
In  0.665  0.665  0.750